BaLa2Fe | PBE-GGA | optimized geometry

Cell lengths 5.4542, 5.4542, 5.4542 Å; angles 60.00, 60.00, 60.00 degrees
Fractional coordinates of all 4 atoms:
Fe 0.0000 0.0000 0.0000
Ba 0.5000 0.5000 0.5000
La 0.2500 0.2500 0.2500
La 0.7500 0.7500 0.7500

Properties
Energy of formation from the pure elements (meV per atom): 663
Calculated density (Mg/m³): 6.8
DFT total energy (eV/atom): -4.3975